LiHoInOs: relaxed, GGA-PBE.

a b c (Å): 6.717 6.717 6.717
angles (deg): 90.00 90.00 90.00
Space group F-43m (No. 216)
Asymmetric unit:
Li  0.000  0.000  0.000 x4
Ho  0.250  0.250  0.750 x4
In  0.250  0.250  0.250 x4
Os  0.000  0.000  0.500 x4

Computed properties:
As for the formation energy: -0.14 eV per atom. As for the size of the total moment: 0.00 μB per cell.

LiHoInPb: relaxed, GGA-PBE.

a b c (Å): 4.435 4.633 4.708
angles (deg): 90.00 90.00 90.00
Space group Pmmm (No. 47)
Asymmetric unit:
Li  0.000  0.000  0.000 x1
Ho  0.000  0.500  0.500 x1
In  0.500  0.500  0.000 x1
Pb  0.500  0.000  0.500 x1

Computed properties:
The calculation puts the energy above the lowest structure with this stoichiometry at 0.0 meV/atom. As for the formation energy: -0.39 eV per atom. As for the size of the total moment: 0.00 μB per cell.